(1)
# CsSmHgSe3

A relaxed CsSmHgSe3 crystal (GGA-PBE, OQMD via LeMat-Bulk).

Cell and atoms, written as CIF:
```
data_CsSmHgSe3
_chemical_formula_sum 'Cs2 Sm2 Hg2 Se6'
_cell_length_a 8.464
_cell_length_b 8.464
_cell_length_c 11.220
_cell_angle_alpha 90.00
_cell_angle_beta 90.00
_cell_angle_gamma 150.51
_space_group_name_H-M_alt 'P 1'
_space_group_IT_number 1
loop_
_space_group_symop_operation_xyz
'x,y,z'
loop_
_atom_site_label
_atom_site_type_symbol
_atom_site_fract_x
_atom_site_fract_y
_atom_site_fract_z
Cs1 Cs 0.248 0.752 0.750
Cs2 Cs 0.752 0.248 0.250
Sm1 Sm 0.500 0.500 0.000
Sm2 Sm 0.500 0.500 0.500
Hg1 Hg 0.041 0.959 0.250
Hg2 Hg 0.959 0.041 0.750
Se1 Se 0.121 0.879 0.046
Se2 Se 0.121 0.879 0.454
Se3 Se 0.435 0.565 0.250
Se4 Se 0.565 0.435 0.750
Se5 Se 0.879 0.121 0.546
Se6 Se 0.879 0.121 0.954
```

Results
space-group type	Cmcm, No. 63
E_tot	-3.964	eV per atom
mass density	6.050	Mg/m³

(2)
# Cs2Sn3HgSe8

A relaxed Cs2Sn3HgSe8 crystal (GGA-PBE, OQMD via LeMat-Bulk).

Cell and atoms, written as CIF:
```
data_Cs2Sn3HgSe8
_chemical_formula_sum 'Cs8 Sn12 Hg4 Se32'
_cell_length_a 8.121
_cell_length_b 13.055
_cell_length_c 18.852
_cell_angle_alpha 90.00
_cell_angle_beta 90.00
_cell_angle_gamma 90.00
_space_group_name_H-M_alt 'P 1'
_space_group_IT_number 1
loop_
_space_group_symop_operation_xyz
'x,y,z'
loop_
_atom_site_label
_atom_site_type_symbol
_atom_site_fract_x
_atom_site_fract_y
_atom_site_fract_z
Cs1 Cs 0.238 0.191 0.160
Cs2 Cs 0.248 0.123 0.549
Cs3 Cs 0.252 0.877 0.049
Cs4 Cs 0.262 0.809 0.660
Cs5 Cs 0.738 0.309 0.840
Cs6 Cs 0.748 0.377 0.451
Cs7 Cs 0.752 0.623 0.951
Cs8 Cs 0.762 0.691 0.340
Sn1 Sn 0.012 0.479 0.653
Sn2 Sn 0.232 0.427 0.983
Sn3 Sn 0.238 0.445 0.323
Sn4 Sn 0.262 0.555 0.823
Sn5 Sn 0.268 0.573 0.483
Sn6 Sn 0.488 0.521 0.153
Sn7 Sn 0.512 0.021 0.347
Sn8 Sn 0.732 0.073 0.017
Sn9 Sn 0.738 0.055 0.677
Sn10 Sn 0.762 0.945 0.177
Sn11 Sn 0.768 0.927 0.517
Sn12 Sn 0.988 0.979 0.847
Hg1 Hg 0.017 0.998 0.347
Hg2 Hg 0.483 0.002 0.847
Hg3 Hg 0.517 0.502 0.653
Hg4 Hg 0.983 0.498 0.153
Se1 Se 0.002 0.115 0.950
Se2 Se 0.010 0.105 0.739
Se3 Se 0.025 0.877 0.229
Se4 Se 0.032 0.868 0.460
Se5 Se 0.233 0.622 0.953
Se6 Se 0.235 0.633 0.160
Se7 Se 0.236 0.862 0.852
Se8 Se 0.241 0.639 0.354
Se9 Se 0.259 0.361 0.854
Se10 Se 0.264 0.138 0.352
Se11 Se 0.265 0.367 0.660
Se12 Se 0.267 0.378 0.453
Se13 Se 0.468 0.132 0.960
Se14 Se 0.475 0.123 0.729
Se15 Se 0.490 0.895 0.239
Se16 Se 0.498 0.885 0.450
Se17 Se 0.502 0.385 0.050
Se18 Se 0.510 0.395 0.261
Se19 Se 0.525 0.623 0.771
Se20 Se 0.532 0.632 0.540
Se21 Se 0.733 0.878 0.047
Se22 Se 0.735 0.867 0.840
Se23 Se 0.736 0.638 0.148
Se24 Se 0.741 0.861 0.646
Se25 Se 0.759 0.139 0.146
Se26 Se 0.764 0.362 0.648
Se27 Se 0.765 0.133 0.340
Se28 Se 0.767 0.122 0.547
Se29 Se 0.968 0.368 0.040
Se30 Se 0.975 0.377 0.271
Se31 Se 0.990 0.605 0.761
Se32 Se 0.998 0.615 0.550
```

Results
space-group type	P2_12_12_1, No. 19
E_tot	-3.608	eV per atom
mass density	4.833	Mg/m³

(3)
# CsTbHg3Se4

A relaxed CsTbHg3Se4 crystal (GGA-PBE, OQMD via LeMat-Bulk).

Cell and atoms, written as CIF:
```
data_CsTbHg3Se4
_chemical_formula_sum 'Cs1 Tb1 Hg3 Se4'
_cell_length_a 7.052
_cell_length_b 7.052
_cell_length_c 7.052
_cell_angle_alpha 90.00
_cell_angle_beta 90.00
_cell_angle_gamma 90.00
_space_group_name_H-M_alt 'P 1'
_space_group_IT_number 1
loop_
_space_group_symop_operation_xyz
'x,y,z'
loop_
_atom_site_label
_atom_site_type_symbol
_atom_site_fract_x
_atom_site_fract_y
_atom_site_fract_z
Cs1 Cs 0.000 0.000 0.000
Tb1 Tb 0.500 0.500 0.500
Hg1 Hg 0.000 0.500 0.500
Hg2 Hg 0.500 0.000 0.500
Hg3 Hg 0.500 0.500 0.000
Se1 Se 0.280 0.280 0.280
Se2 Se 0.280 0.720 0.720
Se3 Se 0.720 0.280 0.720
Se4 Se 0.720 0.720 0.280
```

Results
space-group type	P-43m, No. 215
ΔE to the lowest computed polymorph	28	meV per atom
E_tot	-2.948	eV per atom
mass density	5.726	Mg/m³

(4)
# CsTbHg3Se4

A relaxed CsTbHg3Se4 crystal (GGA-PBE, OQMD via LeMat-Bulk).

Cell and atoms, written as CIF:
```
data_CsTbHg3Se4
_chemical_formula_sum 'Cs2 Tb2 Hg6 Se8'
_cell_length_a 6.569
_cell_length_b 7.945
_cell_length_c 11.734
_cell_angle_alpha 90.00
_cell_angle_beta 100.99
_cell_angle_gamma 90.00
_space_group_name_H-M_alt 'P 1'
_space_group_IT_number 1
loop_
_space_group_symop_operation_xyz
'x,y,z'
loop_
_atom_site_label
_atom_site_type_symbol
_atom_site_fract_x
_atom_site_fract_y
_atom_site_fract_z
Cs1 Cs 0.228 0.250 0.356
Cs2 Cs 0.772 0.750 0.644
Tb1 Tb 0.459 0.750 0.208
Tb2 Tb 0.541 0.250 0.792
Hg1 Hg 0.037 0.250 0.678
Hg2 Hg 0.295 0.530 0.949
Hg3 Hg 0.295 0.970 0.949
Hg4 Hg 0.705 0.030 0.051
Hg5 Hg 0.705 0.470 0.051
Hg6 Hg 0.963 0.750 0.322
Se1 Se 0.055 0.750 0.048
Se2 Se 0.275 0.521 0.716
Se3 Se 0.275 0.979 0.716
Se4 Se 0.339 0.750 0.417
Se5 Se 0.661 0.250 0.583
Se6 Se 0.725 0.021 0.284
Se7 Se 0.725 0.479 0.284
Se8 Se 0.945 0.250 0.952
```

Results
space-group type	P2_1/m, No. 11
ΔE to the lowest computed polymorph	0	meV per atom
E_tot	-2.976	eV per atom
mass density	6.682	Mg/m³

(5)
# CsTbHgSe3

A relaxed CsTbHgSe3 crystal (GGA-PBE, OQMD via LeMat-Bulk).

Cell and atoms, written as CIF:
```
data_CsTbHgSe3
_chemical_formula_sum 'Cs2 Tb2 Hg2 Se6'
_cell_length_a 9.329
_cell_length_b 4.318
_cell_length_c 10.711
_cell_angle_alpha 90.00
_cell_angle_beta 110.92
_cell_angle_gamma 90.00
_space_group_name_H-M_alt 'P 1'
_space_group_IT_number 1
loop_
_space_group_symop_operation_xyz
'x,y,z'
loop_
_atom_site_label
_atom_site_type_symbol
_atom_site_fract_x
_atom_site_fract_y
_atom_site_fract_z
Cs1 Cs 0.235 0.250 0.257
Cs2 Cs 0.765 0.750 0.743
Tb1 Tb 0.326 0.750 0.868
Tb2 Tb 0.674 0.250 0.132
Hg1 Hg 0.086 0.250 0.621
Hg2 Hg 0.914 0.750 0.379
Se1 Se 0.112 0.250 0.873
Se2 Se 0.228 0.750 0.559
Se3 Se 0.475 0.750 0.147
Se4 Se 0.525 0.250 0.853
Se5 Se 0.772 0.250 0.441
Se6 Se 0.888 0.750 0.127
```

Results
space-group type	P2_1/m, No. 11
E_tot	-3.924	eV per atom
mass density	6.009	Mg/m³

(6)
# CsTbHgSe3

A relaxed CsTbHgSe3 crystal (GGA-PBE, OQMD via LeMat-Bulk).

Cell and atoms, written as CIF:
```
data_CsTbHgSe3
_chemical_formula_sum 'Cs2 Tb2 Hg2 Se6'
_cell_length_a 9.563
_cell_length_b 9.563
_cell_length_c 9.589
_cell_angle_alpha 100.85
_cell_angle_beta 100.85
_cell_angle_gamma 25.92
_space_group_name_H-M_alt 'P 1'
_space_group_IT_number 1
loop_
_space_group_symop_operation_xyz
'x,y,z'
loop_
_atom_site_label
_atom_site_type_symbol
_atom_site_fract_x
_atom_site_fract_y
_atom_site_fract_z
Cs1 Cs 0.149 0.149 0.062
Cs2 Cs 0.851 0.851 0.938
Tb1 Tb 0.169 0.169 0.567
Tb2 Tb 0.831 0.831 0.433
Hg1 Hg 0.486 0.486 0.278
Hg2 Hg 0.514 0.514 0.722
Se1 Se 0.000 0.000 0.500
Se2 Se 0.326 0.326 0.631
Se3 Se 0.336 0.336 0.235
Se4 Se 0.500 0.500 0.000
Se5 Se 0.664 0.664 0.765
Se6 Se 0.674 0.674 0.369
```

Results
space-group type	C2/m, No. 12
E_tot	-3.823	eV per atom
mass density	6.440	Mg/m³

(7)
# CsSmHg

A relaxed CsSmHg crystal (GGA-PBE, OQMD via LeMat-Bulk).

Cell and atoms, written as CIF:
```
data_CsSmHg
_chemical_formula_sum 'Cs4 Sm4 Hg4'
_cell_length_a 7.676
_cell_length_b 7.676
_cell_length_c 7.676
_cell_angle_alpha 90.00
_cell_angle_beta 90.00
_cell_angle_gamma 90.00
_space_group_name_H-M_alt 'P 1'
_space_group_IT_number 1
loop_
_space_group_symop_operation_xyz
'x,y,z'
loop_
_atom_site_label
_atom_site_type_symbol
_atom_site_fract_x
_atom_site_fract_y
_atom_site_fract_z
Cs1 Cs 0.000 0.000 0.000
Cs2 Cs 0.000 0.500 0.500
Cs3 Cs 0.500 0.000 0.500
Cs4 Cs 0.500 0.500 0.000
Sm1 Sm 0.250 0.250 0.250
Sm2 Sm 0.250 0.750 0.750
Sm3 Sm 0.750 0.250 0.750
Sm4 Sm 0.750 0.750 0.250
Hg1 Hg 0.000 0.000 0.500
Hg2 Hg 0.000 0.500 0.000
Hg3 Hg 0.500 0.000 0.000
Hg4 Hg 0.500 0.500 0.500
```

Results
space-group type	F-43m, No. 216
E_tot	-1.417	eV per atom
mass density	7.105	Mg/m³

(8)
# CsSmHgTe3

A relaxed CsSmHgTe3 crystal (GGA-PBE, OQMD via LeMat-Bulk).

Cell and atoms, written as CIF:
```
data_CsSmHgTe3
_chemical_formula_sum 'Cs4 Sm4 Hg4 Te12'
_cell_length_a 12.925
_cell_length_b 4.758
_cell_length_c 14.487
_cell_angle_alpha 90.00
_cell_angle_beta 90.00
_cell_angle_gamma 90.00
_space_group_name_H-M_alt 'P 1'
_space_group_IT_number 1
loop_
_space_group_symop_operation_xyz
'x,y,z'
loop_
_atom_site_label
_atom_site_type_symbol
_atom_site_fract_x
_atom_site_fract_y
_atom_site_fract_z
Cs1 Cs 0.177 0.250 0.011
Cs2 Cs 0.323 0.750 0.511
Cs3 Cs 0.677 0.250 0.489
Cs4 Cs 0.823 0.750 0.989
Sm1 Sm 0.034 0.250 0.324
Sm2 Sm 0.466 0.750 0.824
Sm3 Sm 0.534 0.250 0.176
Sm4 Sm 0.966 0.750 0.676
Hg1 Hg 0.246 0.250 0.704
Hg2 Hg 0.254 0.750 0.204
Hg3 Hg 0.746 0.250 0.796
Hg4 Hg 0.754 0.750 0.296
Te1 Te 0.035 0.750 0.177
Te2 Te 0.085 0.250 0.567
Te3 Te 0.223 0.750 0.818
Te4 Te 0.277 0.250 0.318
Te5 Te 0.415 0.750 0.067
Te6 Te 0.465 0.250 0.677
Te7 Te 0.535 0.750 0.323
Te8 Te 0.585 0.250 0.933
Te9 Te 0.723 0.750 0.682
Te10 Te 0.777 0.250 0.182
Te11 Te 0.915 0.750 0.433
Te12 Te 0.965 0.250 0.823
```

Results
space-group type	Pnma, No. 62
ΔE to the lowest computed polymorph	89	meV per atom
E_tot	-3.470	eV per atom
mass density	6.460	Mg/m³

(9)
# CsSmHgTe3

A relaxed CsSmHgTe3 crystal (GGA-PBE, OQMD via LeMat-Bulk).

Cell and atoms, written as CIF:
```
data_CsSmHgTe3
_chemical_formula_sum 'Cs4 Sm4 Hg4 Te12'
_cell_length_a 11.319
_cell_length_b 4.694
_cell_length_c 17.429
_cell_angle_alpha 90.00
_cell_angle_beta 90.00
_cell_angle_gamma 90.00
_space_group_name_H-M_alt 'P 1'
_space_group_IT_number 1
loop_
_space_group_symop_operation_xyz
'x,y,z'
loop_
_atom_site_label
_atom_site_type_symbol
_atom_site_fract_x
_atom_site_fract_y
_atom_site_fract_z
Cs1 Cs 0.050 0.250 0.183
Cs2 Cs 0.450 0.750 0.683
Cs3 Cs 0.550 0.250 0.317
Cs4 Cs 0.950 0.750 0.817
Sm1 Sm 0.168 0.750 0.448
Sm2 Sm 0.332 0.250 0.948
Sm3 Sm 0.668 0.750 0.052
Sm4 Sm 0.832 0.250 0.552
Hg1 Hg 0.176 0.250 0.638
Hg2 Hg 0.324 0.750 0.138
Hg3 Hg 0.676 0.250 0.862
Hg4 Hg 0.824 0.750 0.362
Te1 Te 0.012 0.750 0.600
Te2 Te 0.171 0.750 0.012
Te3 Te 0.214 0.250 0.794
Te4 Te 0.286 0.750 0.294
Te5 Te 0.329 0.250 0.512
Te6 Te 0.488 0.250 0.100
Te7 Te 0.512 0.750 0.900
Te8 Te 0.671 0.750 0.488
Te9 Te 0.714 0.250 0.706
Te10 Te 0.786 0.750 0.206
Te11 Te 0.829 0.250 0.988
Te12 Te 0.988 0.250 0.400
```

Results
space-group type	Pnma, No. 62
ΔE to the lowest computed polymorph	87	meV per atom
E_tot	-3.472	eV per atom
mass density	6.216	Mg/m³

(10)
# CsSmHgTe3

A relaxed CsSmHgTe3 crystal (GGA-PBE, OQMD via LeMat-Bulk).

Cell and atoms, written as CIF:
```
data_CsSmHgTe3
_chemical_formula_sum 'Cs4 Sm4 Hg4 Te12'
_cell_length_a 17.116
_cell_length_b 4.602
_cell_length_c 12.179
_cell_angle_alpha 90.00
_cell_angle_beta 90.00
_cell_angle_gamma 90.00
_space_group_name_H-M_alt 'P 1'
_space_group_IT_number 1
loop_
_space_group_symop_operation_xyz
'x,y,z'
loop_
_atom_site_label
_atom_site_type_symbol
_atom_site_fract_x
_atom_site_fract_y
_atom_site_fract_z
Cs1 Cs 0.234 0.250 0.043
Cs2 Cs 0.266 0.750 0.543
Cs3 Cs 0.734 0.250 0.457
Cs4 Cs 0.766 0.750 0.957
Sm1 Sm 0.024 0.250 0.349
Sm2 Sm 0.476 0.750 0.849
Sm3 Sm 0.524 0.250 0.151
Sm4 Sm 0.976 0.750 0.651
Hg1 Hg 0.020 0.750 0.108
Hg2 Hg 0.480 0.250 0.608
Hg3 Hg 0.520 0.750 0.392
Hg4 Hg 0.980 0.250 0.892
Te1 Te 0.084 0.750 0.876
Te2 Te 0.091 0.250 0.584
Te3 Te 0.140 0.750 0.266
Te4 Te 0.360 0.250 0.766
Te5 Te 0.409 0.750 0.084
Te6 Te 0.416 0.250 0.376
Te7 Te 0.584 0.750 0.624
Te8 Te 0.591 0.250 0.916
Te9 Te 0.640 0.750 0.234
Te10 Te 0.860 0.250 0.734
Te11 Te 0.909 0.750 0.416
Te12 Te 0.916 0.250 0.124
```

Results
space-group type	Pnma, No. 62
ΔE to the lowest computed polymorph	23	meV per atom
E_tot	-3.536	eV per atom
mass density	6.000	Mg/m³

(11)
# CsSmHgTe3

A relaxed CsSmHgTe3 crystal (GGA-PBE, OQMD via LeMat-Bulk).

Cell and atoms, written as CIF:
```
data_CsSmHgTe3
_chemical_formula_sum 'Cs2 Sm2 Hg2 Te6'
_cell_length_a 8.904
_cell_length_b 8.904
_cell_length_c 11.932
_cell_angle_alpha 90.00
_cell_angle_beta 90.00
_cell_angle_gamma 150.25
_space_group_name_H-M_alt 'P 1'
_space_group_IT_number 1
loop_
_space_group_symop_operation_xyz
'x,y,z'
loop_
_atom_site_label
_atom_site_type_symbol
_atom_site_fract_x
_atom_site_fract_y
_atom_site_fract_z
Cs1 Cs 0.249 0.751 0.750
Cs2 Cs 0.751 0.249 0.250
Sm1 Sm 0.000 0.000 0.000
Sm2 Sm 0.000 0.000 0.500
Hg1 Hg 0.461 0.539 0.250
Hg2 Hg 0.539 0.461 0.750
Te1 Te 0.068 0.932 0.250
Te2 Te 0.376 0.624 0.047
Te3 Te 0.376 0.624 0.453
Te4 Te 0.624 0.376 0.547
Te5 Te 0.624 0.376 0.953
Te6 Te 0.932 0.068 0.750
```

Results
space-group type	Cmcm, No. 63
ΔE to the lowest computed polymorph	0	meV per atom
E_tot	-3.559	eV per atom
mass density	6.131	Mg/m³

(12)
# CsSmHgTe3

A relaxed CsSmHgTe3 crystal (GGA-PBE, OQMD via LeMat-Bulk).

Cell and atoms, written as CIF:
```
data_CsSmHgTe3
_chemical_formula_sum 'Cs2 Sm2 Hg2 Te6'
_cell_length_a 9.573
_cell_length_b 4.596
_cell_length_c 11.631
_cell_angle_alpha 90.00
_cell_angle_beta 110.79
_cell_angle_gamma 90.00
_space_group_name_H-M_alt 'P 1'
_space_group_IT_number 1
loop_
_space_group_symop_operation_xyz
'x,y,z'
loop_
_atom_site_label
_atom_site_type_symbol
_atom_site_fract_x
_atom_site_fract_y
_atom_site_fract_z
Cs1 Cs 0.245 0.250 0.210
Cs2 Cs 0.755 0.750 0.790
Sm1 Sm 0.182 0.750 0.635
Sm2 Sm 0.818 0.250 0.365
Hg1 Hg 0.415 0.250 0.878
Hg2 Hg 0.585 0.750 0.122
Te1 Te 0.037 0.750 0.353
Te2 Te 0.265 0.750 0.938
Te3 Te 0.414 0.250 0.637
Te4 Te 0.586 0.750 0.363
Te5 Te 0.735 0.250 0.062
Te6 Te 0.963 0.250 0.647
```

Results
space-group type	P2_1/m, No. 11
ΔE to the lowest computed polymorph	27	meV per atom
E_tot	-3.532	eV per atom
mass density	6.016	Mg/m³